No. 1
Entry from Alexandria via LeMat-Bulk: a geometry-optimized Li3Ce2CuSe6 structure (PBE-GGA).

The structure in CIF format:
```
data_Li3Ce2CuSe6
_symmetry_space_group_name_H-M 'P 1'
_symmetry_Int_Tables_number 1
_symmetry_space_group_name_Hall 'P 1'
_cell_length_a 6.9653
_cell_length_b 6.9653
_cell_length_c 6.8348
_cell_angle_alpha 99.70
_cell_angle_beta 99.70
_cell_angle_gamma 120.12
loop_
_atom_site_label
_atom_site_type_symbol
_atom_site_fract_x
_atom_site_fract_y
_atom_site_fract_z
Li1 Li 0.5000 0.5000 0.5000
Li2 Li 0.1671 0.8329 0.5000
Li3 Li 0.8329 0.1671 0.5000
Cu1 Cu 0.0000 0.0000 0.0000
Se1 Se 0.0838 0.4074 0.2524
Se2 Se 0.5926 0.9162 0.7476
Se3 Se 0.7616 0.7616 0.2500
Se4 Se 0.2384 0.2384 0.7500
Se5 Se 0.9162 0.5926 0.7476
Se6 Se 0.4074 0.0838 0.2524
Ce1 Ce 0.3334 0.6666 0.0000
Ce2 Ce 0.6666 0.3334 0.0000
```

Results
uncorrected energy = -4.802 eV/atom
SG = C2/m
formation energy without anion corrections = -1.251 eV per atom
mass density = 5.16 g cm⁻³
density of states at the Fermi level = 0.1268 states/eV per atom
magnetization = 0.241 μB/f.u.

=====

No. 2
Entry from Alexandria via LeMat-Bulk: a geometry-optimized LiCe2CuSe4 structure (PBE-GGA).

The structure in CIF format:
```
data_LiCe2CuSe4
_symmetry_space_group_name_H-M 'P 1'
_symmetry_Int_Tables_number 1
_symmetry_space_group_name_Hall 'P 1'
_cell_length_a 4.1630
_cell_length_b 6.7915
_cell_length_c 7.3384
_cell_angle_alpha 67.17
_cell_angle_beta 90.00
_cell_angle_gamma 90.00
loop_
_atom_site_label
_atom_site_type_symbol
_atom_site_fract_x
_atom_site_fract_y
_atom_site_fract_z
Se1 Se 0.5000 0.7353 0.2620
Se2 Se 0.0000 0.7255 0.7678
Se3 Se 0.0000 0.2745 0.2322
Se4 Se 0.5000 0.2647 0.7380
Li1 Li 0.0000 0.5000 0.5000
Ce1 Ce 0.5000 0.0000 0.5000
Ce2 Ce 0.0000 0.0000 0.0000
Cu1 Cu 0.5000 0.5000 0.0000
```

Results
uncorrected energy = -5.268 eV/atom
SG = P2/m
formation energy without anion corrections = -1.291 eV per atom
mass density = 5.79 g cm⁻³
density of states at the Fermi level = 1.6155 states/eV per atom
magnetization = 2.008 μB/f.u.

=====

No. 3
Entry from Alexandria via LeMat-Bulk: a geometry-optimized Li4Ce3CuSe8 structure (PBE-GGA).

The structure in CIF format:
```
data_Li4Ce3CuSe8
_symmetry_space_group_name_H-M 'P 1'
_symmetry_Int_Tables_number 1
_symmetry_space_group_name_Hall 'P 1'
_cell_length_a 8.0940
_cell_length_b 7.9633
_cell_length_c 8.2142
_cell_angle_alpha 120.89
_cell_angle_beta 119.52
_cell_angle_gamma 90.00
loop_
_atom_site_label
_atom_site_type_symbol
_atom_site_fract_x
_atom_site_fract_y
_atom_site_fract_z
Se1 Se 0.2345 0.7415 0.9998
Se2 Se 0.2606 0.7655 0.5212
Se3 Se 0.7528 0.7646 0.5057
Se4 Se 0.7653 0.7415 0.9998
Se5 Se 0.2472 0.2354 0.4943
Se6 Se 0.2347 0.2585 0.0002
Se7 Se 0.7655 0.2585 0.0002
Se8 Se 0.7394 0.2345 0.4788
Li1 Li 0.0000 0.0000 0.0000
Li2 Li 0.5000 0.0000 0.0000
Li3 Li 0.5000 0.0000 0.5000
Li4 Li 0.0000 0.0000 0.5000
Cu1 Cu 0.0000 0.5000 0.0000
Ce1 Ce 0.5000 0.5000 0.0000
Ce2 Ce 0.0000 0.5000 0.5000
Ce3 Ce 0.5000 0.5000 0.5000
```

Results
uncorrected energy = -4.924 eV/atom
SG = C2/m
formation energy without anion corrections = -1.335 eV per atom
mass density = 5.10 g cm⁻³
density of states at the Fermi level = 0.8306 states/eV per atom
magnetization = 1.124 μB/f.u.

=====

No. 4
Entry from Alexandria via LeMat-Bulk: a geometry-optimized LiCeCuSi2 structure (PBE-GGA).

The structure in CIF format:
```
data_LiCeCuSi2
_symmetry_space_group_name_H-M 'P 1'
_symmetry_Int_Tables_number 1
_symmetry_space_group_name_Hall 'P 1'
_cell_length_a 4.0885
_cell_length_b 4.0885
_cell_length_c 5.8086
_cell_angle_alpha 110.61
_cell_angle_beta 110.61
_cell_angle_gamma 90.00
loop_
_atom_site_label
_atom_site_type_symbol
_atom_site_fract_x
_atom_site_fract_y
_atom_site_fract_z
Si1 Si 0.6163 0.6163 0.2326
Si2 Si 0.3837 0.3837 0.7674
Cu1 Cu 0.2500 0.7500 0.5000
Li1 Li 0.7500 0.2500 0.5000
Ce1 Ce 0.0000 0.0000 0.0000
```

Results
uncorrected energy = -5.087 eV/atom
SG = I-4m2
formation energy without anion corrections = -0.529 eV per atom
mass density = 5.26 g cm⁻³
density of states at the Fermi level = 0.8866 states/eV per atom
magnetization = 0.399 μB/f.u.

=====

No. 5
Entry from Alexandria via LeMat-Bulk: a geometry-optimized LiCeTlCu structure (PBE-GGA).

The structure in CIF format:
```
data_LiCeTlCu
_symmetry_space_group_name_H-M 'P 1'
_symmetry_Int_Tables_number 1
_symmetry_space_group_name_Hall 'P 1'
_cell_length_a 4.8601
_cell_length_b 4.8601
_cell_length_c 4.8601
_cell_angle_alpha 60.00
_cell_angle_beta 60.00
_cell_angle_gamma 60.00
loop_
_atom_site_label
_atom_site_type_symbol
_atom_site_fract_x
_atom_site_fract_y
_atom_site_fract_z
Li1 Li 0.5000 0.5000 0.5000
Tl1 Tl 0.7500 0.7500 0.7500
Cu1 Cu 0.0000 0.0000 0.0000
Ce1 Ce 0.2500 0.2500 0.2500
```

Results
uncorrected energy = -3.728 eV/atom
SG = F-43m
mass density = 8.49 g cm⁻³
density of states at the Fermi level = 1.6309 states/eV per atom
formation energy = -0.15 eV/atom
magnetization = 0.880 μB/f.u.

=====

No. 6
Entry from Alexandria via LeMat-Bulk: a geometry-optimized CeLuCu structure (PBE-GGA).

The structure in CIF format:
```
data_CeLuCu
_symmetry_space_group_name_H-M 'P 1'
_symmetry_Int_Tables_number 1
_symmetry_space_group_name_Hall 'P 1'
_cell_length_a 3.4031
_cell_length_b 3.4031
_cell_length_c 6.6520
_cell_angle_alpha 104.82
_cell_angle_beta 104.82
_cell_angle_gamma 90.00
loop_
_atom_site_label
_atom_site_type_symbol
_atom_site_fract_x
_atom_site_fract_y
_atom_site_fract_z
Cu1 Cu 0.6561 0.6561 0.3122
Lu1 Lu 0.0291 0.0291 0.0583
Ce1 Ce 0.3148 0.3148 0.6295
```

Results
uncorrected energy = -4.912 eV/atom
SG = I4mm
mass density = 8.75 g cm⁻³
density of states at the Fermi level = 1.7578 states/eV per atom
formation energy = -0.06 eV/atom
magnetization = 1.235 μB/f.u.

=====

No. 7
Entry from Alexandria via LeMat-Bulk: a geometry-optimized CeLu2Cu structure (PBE-GGA).

The structure in CIF format:
```
data_CeLu2Cu
_symmetry_space_group_name_H-M 'P 1'
_symmetry_Int_Tables_number 1
_symmetry_space_group_name_Hall 'P 1'
_cell_length_a 3.2917
_cell_length_b 3.2917
_cell_length_c 10.8945
_cell_angle_alpha 81.31
_cell_angle_beta 81.31
_cell_angle_gamma 60.00
loop_
_atom_site_label
_atom_site_type_symbol
_atom_site_fract_x
_atom_site_fract_y
_atom_site_fract_z
Cu1 Cu 0.5000 0.5000 0.5000
Lu1 Lu 0.1011 0.1011 0.6966
Lu2 Lu 0.8989 0.8989 0.3034
Ce1 Ce 0.0000 0.0000 0.0000
```

Results
uncorrected energy = -4.579 eV/atom
SG = R-3m
mass density = 9.13 g cm⁻³
density of states at the Fermi level = 1.5572 states/eV per atom
formation energy = 0.19 eV/atom
magnetization = 0.415 μB/f.u.

=====

No. 8
Entry from Alexandria via LeMat-Bulk: a geometry-optimized CeLu2Cu structure (PBE-GGA).

The structure in CIF format:
```
data_CeLu2Cu
_symmetry_space_group_name_H-M 'P 1'
_symmetry_Int_Tables_number 1
_symmetry_space_group_name_Hall 'P 1'
_cell_length_a 3.4201
_cell_length_b 3.4201
_cell_length_c 8.4305
_cell_angle_alpha 90.00
_cell_angle_beta 90.00
_cell_angle_gamma 90.00
loop_
_atom_site_label
_atom_site_type_symbol
_atom_site_fract_x
_atom_site_fract_y
_atom_site_fract_z
Cu1 Cu 0.5000 0.5000 0.0000
Ce1 Ce 0.5000 0.5000 0.5000
Lu1 Lu 0.0000 0.0000 0.8042
Lu2 Lu 0.0000 0.0000 0.1958
```

Results
uncorrected energy = -4.854 eV/atom
SG = P4/mmm
mass density = 9.32 g cm⁻³
density of states at the Fermi level = 1.6232 states/eV per atom
formation energy = -0.09 eV/atom
magnetization = 1.296 μB/f.u.

=====

No. 9
Entry from Alexandria via LeMat-Bulk: a geometry-optimized CeLuCu structure (PBE-GGA).

The structure in CIF format:
```
data_CeLuCu
_symmetry_space_group_name_H-M 'P 1'
_symmetry_Int_Tables_number 1
_symmetry_space_group_name_Hall 'P 1'
_cell_length_a 3.6236
_cell_length_b 4.7900
_cell_length_c 4.7900
_cell_angle_alpha 120.00
_cell_angle_beta 90.00
_cell_angle_gamma 90.00
loop_
_atom_site_label
_atom_site_type_symbol
_atom_site_fract_x
_atom_site_fract_y
_atom_site_fract_z
Ce1 Ce 0.0229 0.0000 0.0000
Lu1 Lu 0.5516 0.6667 0.3333
Cu1 Cu 0.4255 0.3333 0.6667
```

Results
uncorrected energy = -4.730 eV/atom
SG = P3m1
mass density = 8.73 g cm⁻³
density of states at the Fermi level = 2.2727 states/eV per atom
formation energy = 0.12 eV/atom
magnetization = 0.883 μB/f.u.

=====

No. 10
Entry from Alexandria via LeMat-Bulk: a geometry-optimized Ce2LuCu structure (PBE-GGA).

The structure in CIF format:
```
data_Ce2LuCu
_symmetry_space_group_name_H-M 'P 1'
_symmetry_Int_Tables_number 1
_symmetry_space_group_name_Hall 'P 1'
_cell_length_a 3.6141
_cell_length_b 3.6141
_cell_length_c 7.9076
_cell_angle_alpha 90.00
_cell_angle_beta 90.00
_cell_angle_gamma 90.00
loop_
_atom_site_label
_atom_site_type_symbol
_atom_site_fract_x
_atom_site_fract_y
_atom_site_fract_z
Lu1 Lu 0.5000 0.5000 0.5000
Ce1 Ce 0.0000 0.0000 0.1967
Ce2 Ce 0.0000 0.0000 0.8033
Cu1 Cu 0.5000 0.5000 0.0000
```

Results
uncorrected energy = -5.061 eV/atom
SG = P4/mmm
mass density = 8.34 g cm⁻³
density of states at the Fermi level = 2.4694 states/eV per atom
formation energy = 0.06 eV/atom
magnetization = 0.425 μB/f.u.

=====

No. 11
Entry from Alexandria via LeMat-Bulk: a geometry-optimized CeLuCu4 structure (PBE-GGA).

The structure in CIF format:
```
data_CeLuCu4
_symmetry_space_group_name_H-M 'P 1'
_symmetry_Int_Tables_number 1
_symmetry_space_group_name_Hall 'P 1'
_cell_length_a 5.2390
_cell_length_b 5.2390
_cell_length_c 5.2390
_cell_angle_alpha 60.00
_cell_angle_beta 60.00
_cell_angle_gamma 60.00
loop_
_atom_site_label
_atom_site_type_symbol
_atom_site_fract_x
_atom_site_fract_y
_atom_site_fract_z
Ce1 Ce 0.0000 0.0000 0.0000
Cu1 Cu 0.6240 0.6240 0.1281
Cu2 Cu 0.1281 0.6240 0.6240
Cu3 Cu 0.6240 0.6240 0.6240
Cu4 Cu 0.6240 0.1281 0.6240
Lu1 Lu 0.2500 0.2500 0.2500
```

Results
uncorrected energy = -4.604 eV/atom
SG = F-43m
mass density = 9.30 g cm⁻³
density of states at the Fermi level = 1.1672 states/eV per atom
formation energy = -0.13 eV/atom
magnetization = 0.671 μB/f.u.

=====

No. 12
Entry from Alexandria via LeMat-Bulk: a geometry-optimized Ce2LuCu structure (PBE-GGA).

The structure in CIF format:
```
data_Ce2LuCu
_symmetry_space_group_name_H-M 'P 1'
_symmetry_Int_Tables_number 1
_symmetry_space_group_name_Hall 'P 1'
_cell_length_a 3.4735
_cell_length_b 3.4735
_cell_length_c 10.2082
_cell_angle_alpha 80.20
_cell_angle_beta 80.20
_cell_angle_gamma 60.00
loop_
_atom_site_label
_atom_site_type_symbol
_atom_site_fract_x
_atom_site_fract_y
_atom_site_fract_z
Cu1 Cu 0.0000 0.0000 0.0000
Lu1 Lu 0.5000 0.5000 0.5000
Ce1 Ce 0.2617 0.2617 0.2150
Ce2 Ce 0.7383 0.7383 0.7850
```

Results
uncorrected energy = -4.968 eV/atom
SG = R-3m
mass density = 8.24 g cm⁻³
density of states at the Fermi level = 2.3269 states/eV per atom
formation energy = 0.15 eV/atom
magnetization = 1.381 μB/f.u.

=====

Question: Among the records above, which one has the highest uncorrected energy?
Answer: LiCeTlCu

=====

Question: Look up the mass density of the eleventh one.
Answer: 9.30 g cm⁻³

=====

Question: Which value of density of states at the Fermi level does entry 8 give?
Answer: 1.6232 states/eV per atom